[1]
This record from Alexandria via LeMat-Bulk describes a geometry-optimized KInAs2O8 structure. The functional is PBE-GGA.

## Properties
The uncorrected energy comes out at -0.40476 Ry/atom. Its calculated volume is 198 Å³ per cell. As for the space-group type: R32.

Cell lengths 5.2625, 5.2625, 8.7969 Å; angles 72.60, 72.60, 60.00 degrees
Closest atoms and distances in Å follow each position.
Fractional coordinates of all 12 atoms:
1 As 0.2405 0.2405 0.2785  4 O 1.71-1.72
2 As 0.7595 0.7595 0.7215  4 O 1.71-1.72
3 O 0.8968 0.5228 0.3394  1 As 1.72
4 O 0.3095 0.3095 0.0714  1 As 1.71
5 O 0.5228 0.2409 0.3394  1 As 1.72
6 O 0.1032 0.7591 0.6606  1 As 1.72
7 O 0.2409 0.8968 0.3394  1 As 1.72
8 O 0.6905 0.6905 0.9286  1 As 1.71
9 O 0.7591 0.4772 0.6606  1 As 1.72
10 O 0.4772 0.1032 0.6606  1 As 1.72
11 K 0.0000 0.0000 0.0000  12 O 3.09-3.38
12 In 0.5000 0.5000 0.5000  6 O 2.18

[2]
This record from Alexandria via LeMat-Bulk describes a geometry-optimized NdPaAs structure. The functional is PBE-GGA.

## Properties
Its calculated volume is 87 Å³ per cell. The value obtained for the formation energy from the elements is -1.32 eV per formula unit. As for the space-group type: P3m1. For the polymorph energy (0 for the lowest one), the calculation gives 0.000 eV/atom.

Cell lengths 6.6780, 3.8836, 3.8836 Å; angles 120.00, 90.00, 90.00 degrees
Closest atoms and distances in Å follow each position.
Fractional coordinates of all 3 atoms:
1 Pa 0.0603 0.0000 0.0000  3 As 2.86
2 Nd 0.6134 0.6667 0.3333  3 As 2.95
3 As 0.3263 0.3333 0.6667  3 Pa 2.86, 3 Nd 2.95

[3]
This record from Alexandria via LeMat-Bulk describes a geometry-optimized BaSc2P structure. The functional is PBE-GGA.

## Properties
Its calculated volume is 97 Å³ per cell. The value obtained for the formation energy from the elements is 0.07 eV per formula unit. As for the space-group type: I-4m2.

Cell lengths 5.8324, 5.8324, 5.8324 Å; angles 135.12, 135.12, 65.34 degrees
Closest atoms and distances in Å follow each position.
Fractional coordinates of all 4 atoms:
1 Ba 0.5000 0.5000 0.0000  8 Sc 3.15-3.31, 4 P 3.31
2 Sc 0.2500 0.7500 0.5000  4 P 3.15, 4 Ba 3.31, 4 Sc 3.31
3 Sc 0.0000 0.0000 0.0000  4 Ba 3.15, 4 Sc 3.31, 4 P 3.31
4 P 0.7500 0.2500 0.5000  8 Sc 3.15-3.31, 4 Ba 3.31

[4]
This record from Alexandria via LeMat-Bulk describes a geometry-optimized ZrTlRh2 structure. The functional is PBE-GGA.

## Properties
Its calculated volume is 74 Å³ per cell. The value obtained for the formation energy from the elements is -1.15 eV per formula unit. As for the space-group type: Pmm2.

Cell lengths 3.8578, 3.4395, 6.5578 Å; angles 58.36, 90.00, 90.00 degrees
Closest atoms and distances in Å follow each position.
Fractional coordinates of all 4 atoms:
1 Zr 0.5000 0.7002 0.8005  5 Rh 2.58-2.76
2 Rh 0.5000 0.2374 0.2621  1 Zr 2.58, 4 Tl 2.82-2.83
3 Rh 0.0000 0.0291 0.9706  4 Zr 2.75-2.76, 2 Tl 2.77-2.81, 4 Rh 3.05
4 Tl 0.0000 0.5332 0.4668  6 Rh 2.77-2.83

[5]
This record from Alexandria via LeMat-Bulk describes a geometry-optimized Ce7Ge2Os2 structure. The functional is PBE-GGA.

## Properties
Its calculated volume is 279 Å³ per cell. The value obtained for the formation energy from the elements is -3.70 eV per formula unit. As for the space-group type: Imm2. For the polymorph energy (0 for the lowest one), the calculation gives 0.000 eV/atom.

Cell lengths 3.9352, 9.0691, 9.0691 Å; angles 63.14, 77.47, 77.47 degrees
Closest atoms and distances in Å follow each position.
Fractional coordinates of all 11 atoms:
1 Ge 0.0000 0.7764 0.2236  8 Ce 2.99-3.09
2 Ge 0.5000 0.3420 0.6580  7 Ce 3.01-3.07
3 Ce 0.5000 0.0230 0.9770  3 Ge 3.03-3.06
4 Ce 0.3826 0.7249 0.5099  2 Os 2.92, 3 Ge 3.07-3.09
5 Ce 0.1850 0.7107 0.9192  2 Os 2.79, 1 Ge 2.99
6 Ce 0.8150 0.0808 0.2893  2 Os 2.79, 1 Ge 2.99
7 Ce 0.6174 0.4901 0.2751  2 Os 2.92, 3 Ge 3.07-3.09
8 Ce 0.1443 0.1220 0.5895  2 Os 2.96, 2 Ge 3.01
9 Ce 0.8557 0.4105 0.8780  2 Os 2.96, 2 Ge 3.01
10 Os 0.2614 0.3253 0.1519  6 Ce 2.79-2.96
11 Os 0.7386 0.8481 0.6747  6 Ce 2.79-2.96

[6]
This record from Alexandria via LeMat-Bulk describes a geometry-optimized CsAcH3 structure. The functional is PBE-GGA.

## Properties
The uncorrected energy comes out at -0.23699 Ry/atom. Its calculated volume is 119 Å³ per cell. As for the space-group type: Pm-3m.

Cell lengths 4.9196, 4.9196, 4.9196 Å; angles 90.00, 90.00, 90.00 degrees
Closest atoms and distances in Å follow each position.
Fractional coordinates of all 5 atoms:
1 H 0.0000 0.0000 0.5000  2 Ac 2.46
2 H 0.5000 0.0000 0.0000  2 Ac 2.46
3 H 0.0000 0.5000 0.0000  2 Ac 2.46
4 Cs 0.5000 0.5000 0.5000  12 H 3.48
5 Ac 0.0000 0.0000 0.0000  6 H 2.46

[7]
This record from Alexandria via LeMat-Bulk describes a geometry-optimized AlPdAu3 structure. The functional is PBE-GGA.

## Properties
Its calculated volume is 169 Å³ per cell. The value obtained for the formation energy from the elements is -1.55 eV per formula unit. As for the space-group type: C2/m. For the polymorph energy (0 for the lowest one), the calculation gives 0.000 eV/atom.

Cell lengths 2.9820, 6.2326, 9.4357 Å; angles 97.85, 90.00, 103.84 degrees
Closest atoms and distances in Å follow each position.
Fractional coordinates of all 10 atoms:
1 Au 0.7544 0.5088 0.2330  2 Al 2.75, 8 Au 2.86-3.02, 2 Pd 2.93
2 Au 0.3831 0.7662 0.0396  4 Al 2.71-2.81, 1 Pd 2.83, 6 Au 2.86-3.03
3 Au 0.8506 0.7011 0.5416  1 Al 2.69, 4 Pd 2.85-2.88, 5 Au 2.87-2.98
4 Au 0.1494 0.2989 0.4584  1 Al 2.69, 4 Pd 2.85-2.88, 5 Au 2.87-2.98
5 Au 0.2456 0.4912 0.7670  2 Al 2.75, 8 Au 2.86-3.02, 2 Pd 2.93
6 Au 0.6169 0.2338 0.9604  4 Al 2.71-2.81, 1 Pd 2.83, 6 Au 2.86-3.03
7 Pd 0.4583 0.9166 0.3380  2 Al 2.56, 3 Au 2.83-2.85
8 Pd 0.5417 0.0834 0.6620  2 Al 2.56, 3 Au 2.83-2.85
9 Al 0.0622 0.1245 0.1804  2 Pd 2.56, 7 Au 2.69-2.81
10 Al 0.9378 0.8755 0.8196  2 Pd 2.56, 7 Au 2.69-2.81

[8]
This record from Alexandria via LeMat-Bulk describes a geometry-optimized Tb3Ce2NdTe6 structure. The functional is PBE-GGA.

## Properties
The uncorrected energy comes out at -0.40223 Ry/atom. Its calculated volume is 370 Å³ per cell. As for the space-group type: C2/m.

Cell lengths 4.3963, 8.9465, 9.9451 Å; angles 103.93, 102.77, 90.00 degrees
Closest atoms and distances in Å follow each position.
Fractional coordinates of all 12 atoms:
1 Te 0.9986 0.2561 0.9972  3 Tb 3.08-3.09, 1 Ce 3.17, 2 Nd 3.18
2 Te 0.6694 0.0785 0.3389  3 Tb 3.10-3.11, 2 Ce 3.18, 1 Nd 3.19
3 Te 0.0014 0.7439 0.0028  3 Tb 3.08-3.09, 1 Ce 3.17, 2 Nd 3.18
4 Te 0.3357 0.4108 0.6714  3 Tb 3.09, 3 Ce 3.17-3.18
5 Te 0.3306 0.9215 0.6611  3 Tb 3.10-3.11, 2 Ce 3.18, 1 Nd 3.19
6 Te 0.6643 0.5892 0.3286  3 Tb 3.09, 3 Ce 3.17-3.18
7 Tb 0.1651 0.8327 0.3302  6 Te 3.08-3.11
8 Tb 0.5000 0.5000 0.0000  6 Te 3.09
9 Tb 0.8349 0.1673 0.6698  6 Te 3.08-3.11
10 Ce 0.8330 0.6657 0.6660  6 Te 3.17-3.18
11 Ce 0.1670 0.3343 0.3340  6 Te 3.17-3.18
12 Nd 0.5000 0.0000 0.0000  6 Te 3.18-3.19